[1]
! FeHgTe2 PBE optimized geometry; values from VASP
! Energy = -3.179 eV per atom
! Spin magnetization = 3.4 μB/f.u.
! Density of states at the Fermi level = 4.4 states/eV/cell
&SYSTEM
  ibrav = 0, nat = 4, ntyp = 3
/
ATOMIC_SPECIES
Fe 55.84 Fe.upf
Hg 200.59 Hg.upf
Te 127.60 Te.upf
CELL_PARAMETERS angstrom
5.1442 0.0000 0.0000
0.0000 5.1442 0.0000
0.0000 0.0000 3.6301
ATOMIC_POSITIONS angstrom
Fe 0.0000 0.0000 0.0000
Hg 2.5721 2.5721 0.0000
Te 0.0000 2.5721 1.8151
Te 2.5721 0.0000 1.8151

***

[2]
! FeHg3Te PBE optimized geometry; values from VASP
! Energy = -1.508 eV per atom
! Spin magnetization = 3.6 μB/f.u.
! Density of states at the Fermi level = 43.1 states/eV/cell
&SYSTEM
  ibrav = 0, nat = 5, ntyp = 3
/
ATOMIC_SPECIES
Fe 55.84 Fe.upf
Hg 200.59 Hg.upf
Te 127.60 Te.upf
CELL_PARAMETERS angstrom
5.8918 0.0000 0.0000
0.0000 5.8918 0.0000
0.0000 0.0000 5.8918
ATOMIC_POSITIONS angstrom
Fe 0.0000 0.0000 0.0000
Hg 0.0000 2.9459 2.9459
Hg 2.9459 0.0000 2.9459
Hg 2.9459 2.9459 0.0000
Te 2.9459 2.9459 2.9459

***

[3]
! Fe2HgTe PBE optimized geometry; values from VASP
! Energy = -4.622 eV per atom
! Relative energy among the computed polymorphs = 203.5 meV per atom
! Spin magnetization = 5.5 μB/f.u.
! Density of states at the Fermi level = 3.6 states/eV/cell
&SYSTEM
  ibrav = 0, nat = 4, ntyp = 3
/
ATOMIC_SPECIES
Fe 55.84 Fe.upf
Hg 200.59 Hg.upf
Te 127.60 Te.upf
CELL_PARAMETERS angstrom
3.1826 0.0000 0.0000
0.0000 3.8328 0.0000
0.0000 0.0000 6.3571
ATOMIC_POSITIONS angstrom
Fe 0.0000 0.0000 1.2137
Fe 0.0000 0.0000 5.1434
Hg 1.5913 1.9164 0.0000
Te 0.0000 1.9164 3.1786

***

[4]
! Fe2HgTe PBE optimized geometry; values from VASP
! Energy = -4.522 eV per atom
! Relative energy among the computed polymorphs = 303.9 meV per atom
! Spin magnetization = 5.3 μB/f.u.
! Density of states at the Fermi level = 9.0 states/eV/cell
&SYSTEM
  ibrav = 0, nat = 8, ntyp = 3
/
ATOMIC_SPECIES
Fe 55.84 Fe.upf
Hg 200.59 Hg.upf
Te 127.60 Te.upf
CELL_PARAMETERS angstrom
3.9569 0.0000 0.0000
0.0000 3.9569 0.0000
0.0000 0.0000 9.1182
ATOMIC_POSITIONS angstrom
Fe 0.0000 0.0000 0.0000
Fe 0.0000 1.9784 2.2796
Fe 1.9784 0.0000 6.8387
Fe 1.9784 1.9784 4.5591
Hg 0.0000 1.9784 6.8387
Hg 1.9784 0.0000 2.2796
Te 0.0000 0.0000 4.5591
Te 1.9784 1.9784 0.0000

***

[5]
! Fe2HgTe PBE optimized geometry; values from VASP
! Energy = -4.556 eV per atom
! Relative energy among the computed polymorphs = 269.9 meV per atom
! Spin magnetization = 4.7 μB/f.u.
! Density of states at the Fermi level = 10.2 states/eV/cell
&SYSTEM
  ibrav = 0, nat = 8, ntyp = 3
/
ATOMIC_SPECIES
Fe 55.84 Fe.upf
Hg 200.59 Hg.upf
Te 127.60 Te.upf
CELL_PARAMETERS angstrom
6.4831 0.0000 0.0000
0.0000 6.4639 0.0000
-0.0121 0.0000 3.2772
ATOMIC_POSITIONS angstrom
Fe 1.6208 1.6160 0.0000
Fe 1.6208 4.8479 0.0000
Fe 4.8623 1.6160 0.0000
Fe 4.8623 4.8479 0.0000
Hg -0.0060 0.0000 1.6386
Hg 3.2355 3.2320 1.6386
Te -0.0060 3.2320 1.6386
Te 3.2355 0.0000 1.6386

***

[6]
! FeHgTe2 PBE optimized geometry; values from VASP
! Energy = -3.595 eV per atom
! Spin magnetization = 2.1 μB/f.u.
! Density of states at the Fermi level = 2.3 states/eV/cell
&SYSTEM
  ibrav = 0, nat = 4, ntyp = 3
/
ATOMIC_SPECIES
Fe 55.84 Fe.upf
Hg 200.59 Hg.upf
Te 127.60 Te.upf
CELL_PARAMETERS angstrom
3.2288 0.0000 0.0000
0.0000 3.2288 0.0000
0.0000 0.0000 9.7806
ATOMIC_POSITIONS angstrom
Fe 0.0000 0.0000 0.0000
Hg 0.0000 0.0000 4.8903
Te 1.6144 1.6144 1.6491
Te 1.6144 1.6144 8.1314

***

[7]
! FeHg2Te PBE optimized geometry; values from VASP
! Energy = -2.663 eV per atom
! Spin magnetization = 3.6 μB/f.u.
! Density of states at the Fermi level = 10.1 states/eV/cell
&SYSTEM
  ibrav = 0, nat = 8, ntyp = 3
/
ATOMIC_SPECIES
Fe 55.84 Fe.upf
Hg 200.59 Hg.upf
Te 127.60 Te.upf
CELL_PARAMETERS angstrom
5.6655 0.0000 0.0000
0.0000 12.3044 0.0000
-2.7931 0.0000 2.8486
ATOMIC_POSITIONS angstrom
Fe 0.0000 0.0000 0.0000
Fe 2.8328 6.1522 0.0000
Hg 1.4164 3.0761 0.0000
Hg 1.4164 9.2283 0.0000
Hg 4.2491 3.0761 0.0000
Hg 4.2491 9.2283 0.0000
Te 0.0000 6.1522 0.0000
Te 2.8328 0.0000 0.0000

***

[8]
! FeHgTe2 PBE optimized geometry; values from VASP
! Energy = -3.199 eV per atom
! Spin magnetization = 2.9 μB/f.u.
! Density of states at the Fermi level = 4.8 states/eV/cell
&SYSTEM
  ibrav = 0, nat = 4, ntyp = 3
/
ATOMIC_SPECIES
Fe 55.84 Fe.upf
Hg 200.59 Hg.upf
Te 127.60 Te.upf
CELL_PARAMETERS angstrom
4.9016 0.0000 0.0000
0.0000 3.7772 0.0000
-0.2429 0.0000 5.6499
ATOMIC_POSITIONS angstrom
Fe 0.0000 0.0000 0.0000
Hg 2.4508 1.8886 0.0000
Te -0.1215 0.0000 2.8250
Te 2.3294 1.8886 2.8250

***

[9]
! FeHg2Te PBE optimized geometry; values from VASP
! Energy = -2.651 eV per atom
! Spin magnetization = 2.9 μB/f.u.
! Density of states at the Fermi level = 3.6 states/eV/cell
&SYSTEM
  ibrav = 0, nat = 4, ntyp = 3
/
ATOMIC_SPECIES
Fe 55.84 Fe.upf
Hg 200.59 Hg.upf
Te 127.60 Te.upf
CELL_PARAMETERS angstrom
3.0952 0.0000 0.0000
0.0000 3.0952 0.0000
0.0000 0.0000 9.7673
ATOMIC_POSITIONS angstrom
Fe 0.0000 0.0000 0.0000
Hg 1.5476 1.5476 1.8172
Hg 1.5476 1.5476 7.9500
Te 0.0000 0.0000 4.8836

***

[10]
! Fe3HgTe PBE optimized geometry; values from VASP
! Energy = -4.698 eV per atom
! Relative energy among the computed polymorphs = 0.0 meV per atom
! Spin magnetization = 8.0 μB/f.u.
! Density of states at the Fermi level = 6.5 states/eV/cell
&SYSTEM
  ibrav = 0, nat = 5, ntyp = 3
/
ATOMIC_SPECIES
Fe 55.84 Fe.upf
Hg 200.59 Hg.upf
Te 127.60 Te.upf
CELL_PARAMETERS angstrom
4.7981 0.0000 0.0000
0.0000 4.7981 0.0000
0.0000 0.0000 4.7981
ATOMIC_POSITIONS angstrom
Fe 0.0000 0.0000 2.3990
Fe 0.0000 2.3990 0.0000
Fe 2.3990 0.0000 0.0000
Hg 2.3990 2.3990 2.3990
Te 0.0000 0.0000 0.0000

***

[11]
! FeHgTe2 PBE optimized geometry; values from VASP
! Energy = -3.568 eV per atom
! Spin magnetization = 3.4 μB/f.u.
! Density of states at the Fermi level = 3.2 states/eV/cell
&SYSTEM
  ibrav = 0, nat = 4, ntyp = 3
/
ATOMIC_SPECIES
Fe 55.84 Fe.upf
Hg 200.59 Hg.upf
Te 127.60 Te.upf
CELL_PARAMETERS angstrom
4.7384 0.0000 0.0000
0.0000 4.1163 0.0000
-0.2699 0.0000 6.3351
ATOMIC_POSITIONS angstrom
Fe 0.0000 0.0000 0.0000
Hg 1.4190 2.0582 5.4161
Te -0.0088 2.0582 1.5536
Te 3.0050 0.0000 4.2499

***

[12]
! FeHg2Te PBE optimized geometry; values from VASP
! Energy = -2.720 eV per atom
! Spin magnetization = 2.2 μB/f.u.
! Density of states at the Fermi level = 10.2 states/eV/cell
&SYSTEM
  ibrav = 0, nat = 16, ntyp = 3
/
ATOMIC_SPECIES
Fe 55.84 Fe.upf
Hg 200.59 Hg.upf
Te 127.60 Te.upf
CELL_PARAMETERS angstrom
10.3194 0.0000 0.0000
0.0000 10.3194 0.0000
0.0000 0.0000 4.9560
ATOMIC_POSITIONS angstrom
Fe 0.0000 0.0000 0.0000
Fe 0.0000 5.1597 1.2390
Fe 5.1597 0.0000 3.7170
Fe 5.1597 5.1597 2.4780
Hg 0.0085 7.7396 0.6195
Hg 2.5799 0.0085 4.3365
Hg 2.5799 5.1512 1.8585
Hg 5.1512 7.7396 3.0975
Hg 5.1683 2.5799 3.0975
Hg 7.7396 5.1683 1.8585
Hg 7.7396 10.3109 4.3365
Hg 10.3109 2.5799 0.6195
Te 0.0000 0.0000 2.4780
Te 0.0000 5.1597 3.7170
Te 5.1597 0.0000 1.2390
Te 5.1597 5.1597 0.0000

***

[13]
! FeHg2Te2 PBE optimized geometry; values from VASP
! Energy = -2.897 eV per atom
! Relative energy among the computed polymorphs = 0.0 meV per atom
! Spin magnetization = 2.6 μB/f.u.
! Density of states at the Fermi level = 5.8 states/eV/cell
&SYSTEM
  ibrav = 0, nat = 10, ntyp = 3
/
ATOMIC_SPECIES
Fe 55.84 Fe.upf
Hg 200.59 Hg.upf
Te 127.60 Te.upf
CELL_PARAMETERS angstrom
6.6450 0.0000 0.0000
0.0000 6.6450 0.0000
0.0000 0.0000 7.2163
ATOMIC_POSITIONS angstrom
Fe 0.0000 0.0000 0.0000
Fe 3.3225 3.3225 0.0000
Hg 1.6313 1.6912 3.6081
Hg 1.6912 5.0137 3.6081
Hg 4.9538 1.6313 3.6081
Hg 5.0137 4.9538 3.6081
Te 1.0212 2.3013 0.0000
Te 2.3013 5.6238 0.0000
Te 4.3437 1.0212 0.0000
Te 5.6238 4.3437 0.0000

***

[14]
! FeHg2Te PBE optimized geometry; values from VASP
! Energy = -2.825 eV per atom
! Spin magnetization = 2.3 μB/f.u.
! Density of states at the Fermi level = 5.7 states/eV/cell
&SYSTEM
  ibrav = 0, nat = 8, ntyp = 3
/
ATOMIC_SPECIES
Fe 55.84 Fe.upf
Hg 200.59 Hg.upf
Te 127.60 Te.upf
CELL_PARAMETERS angstrom
3.0874 0.0000 0.0000
0.0000 4.7664 0.0000
0.0000 0.0000 13.0512
ATOMIC_POSITIONS angstrom
Fe 0.0000 0.0000 0.0000
Fe 1.5437 2.3832 6.5256
Hg 0.0000 0.0000 6.8540
Hg 0.0000 2.3832 8.8959
Hg 1.5437 0.0000 2.3703
Hg 1.5437 2.3832 0.3285
Te 0.0000 2.3832 4.4874
Te 1.5437 0.0000 11.0130

***

| no. | uncorrected formation energy (meV/atom) |
| --- | --- |
| 1 | 583 |
| 2 | 994 |
| 3 | 470 |
| 4 | 570 |
| 5 | 536 |
| 6 | 167 |
| 7 | 389 |
| 8 | 563 |
| 9 | 401 |
| 10 | 1069 |
| 11 | 194 |
| 12 | 332 |
| 13 | 173 |
| 14 | 227 |